No. 1
Li2HPbF6 PBE relaxed; SG = C2/c (15); Fermi-level density of states = 3.23 states/eV/cell; theoretical density = 4.5 Mg/m³; total DFT energy (no corrections) = -4.5160 eV per atom
1.0
5.674 -4.091 0.000
5.674 4.091 0.000
-2.778 0.000 5.294
Li H Pb F
4 2 2 12
direct
0.144 0.229 0.182
0.229 0.144 0.682
0.771 0.856 0.318
0.856 0.771 0.818
0.211 0.789 0.250
0.789 0.211 0.750
0.339 0.661 0.750
0.661 0.339 0.250
0.018 0.271 0.438
0.131 0.713 0.041
0.271 0.018 0.938
0.287 0.869 0.459
0.342 0.410 0.351
0.410 0.342 0.851
0.590 0.658 0.149
0.658 0.590 0.649
0.713 0.131 0.541
0.729 0.982 0.062
0.869 0.287 0.959
0.982 0.729 0.562

***

No. 2
LiH2PbF8 PBE relaxed; SG = P-1 (2); Fermi-level density of states = 1.31 states/eV/cell; theoretical density = 4.3 Mg/m³; total DFT energy (no corrections) = -3.9602 eV per atom
1.0
4.357 0.000 0.000
-1.820 4.386 0.000
-0.014 -0.049 7.393
Li H Pb F
1 2 1 8
direct
0.000 0.000 0.000
0.493 0.499 0.734
0.507 0.501 0.266
0.000 0.000 0.500
0.252 0.269 0.268
0.265 0.290 0.736
0.274 0.739 0.496
0.302 0.804 0.996
0.698 0.196 0.004
0.726 0.261 0.504
0.735 0.710 0.264
0.748 0.731 0.732

***

No. 3
LiH2PtF8 PBE relaxed; SG = P-1 (2); Fermi-level density of states = 4.48 states/eV/cell; theoretical density = 4.1 Mg/m³; total DFT energy (no corrections) = -4.1089 eV per atom
1.0
4.725 0.000 0.000
0.209 4.957 0.000
0.062 1.102 6.212
Li H Pt F
1 2 1 8
direct
0.000 0.000 0.000
0.240 0.491 0.850
0.760 0.509 0.150
0.000 0.000 0.500
0.219 0.808 0.749
0.219 0.855 0.283
0.240 0.303 0.475
0.252 0.315 0.944
0.748 0.685 0.056
0.760 0.697 0.525
0.781 0.145 0.717
0.781 0.192 0.251

***

No. 4
LiSbH2F8 PBE relaxed; SG = P-1 (2); Fermi-level density of states = 0.00 states/eV/cell; theoretical density = 3.0 Mg/m³; total DFT energy (no corrections) = -4.4954 eV per atom
1.0
4.947 0.000 0.000
-0.473 5.009 0.000
-0.001 -1.308 6.408
Li Sb H F
1 1 2 8
direct
0.000 0.000 0.000
0.000 0.000 0.500
0.239 0.545 0.850
0.761 0.455 0.150
0.187 0.152 0.285
0.211 0.237 0.730
0.250 0.715 0.951
0.254 0.739 0.486
0.746 0.261 0.514
0.750 0.285 0.049
0.789 0.763 0.270
0.813 0.848 0.715

***

No. 5
LiSbHF PBE relaxed; SG = P1 (1); Fermi-level density of states = 0.39 states/eV/cell; relative energy among the computed polymorphs = 0.247 eV/atom; theoretical density = 3.4 Mg/m³
1.0
3.010 0.000 0.000
1.189 4.388 0.000
1.354 0.678 5.540
Li Sb H F
1 1 1 1
direct
0.000 0.000 0.000
0.539 0.528 0.465
0.729 0.185 0.330
0.547 0.064 0.840

***

No. 6
LiSbHF PBE relaxed; SG = P1 (1); Fermi-level density of states = 0.53 states/eV/cell; relative energy among the computed polymorphs = 0.000 eV/atom; theoretical density = 3.5 Mg/m³
1.0
3.247 0.000 0.000
1.623 2.815 0.000
0.025 0.085 7.727
Li Sb H F
1 1 1 1
direct
0.000 0.000 0.000
0.656 0.651 0.540
0.654 0.658 0.315
0.333 0.334 0.990

***

No. 7
LiSnH2F6 PBE relaxed; SG = P2_1/c (14); Fermi-level density of states = 6.01 states/eV/cell; theoretical density = 3.5 Mg/m³; total DFT energy (no corrections) = -4.4609 eV per atom
1.0
4.536 0.000 0.000
0.000 6.061 0.000
-3.313 0.000 8.281
Li Sn H F
2 2 4 12
direct
0.000 0.000 0.000
0.000 0.500 0.500
0.500 0.000 0.500
0.500 0.500 0.000
0.400 0.091 0.823
0.400 0.409 0.323
0.600 0.591 0.677
0.600 0.909 0.177
0.094 0.695 0.944
0.094 0.805 0.444
0.267 0.168 0.898
0.267 0.332 0.398
0.432 0.514 0.734
0.432 0.986 0.234
0.568 0.014 0.766
0.568 0.486 0.266
0.733 0.668 0.602
0.733 0.832 0.102
0.906 0.195 0.556
0.906 0.305 0.056

***

No. 8
SrLiH2F PBE relaxed; SG = P4/mmm (123); Fermi-level density of states = 0.00 states/eV/cell; theoretical density = 1.9 Mg/m³; total DFT energy (no corrections) = -3.4771 eV per atom
1.0
4.686 0.000 0.000
0.000 4.686 0.000
0.000 0.000 4.664
Sr Li H F
1 1 2 1
direct
0.000 0.000 0.000
0.500 0.500 0.500
0.000 0.500 0.000
0.500 0.000 0.000
0.000 0.000 0.500